(1)
## Ca6Ac7 (PBE)

Data for Ca6Ac7 after structural relaxation.

Cell and atoms, written as CIF:
```
data_Ca6Ac7
_chemical_formula_sum 'Ca6 Ac7'
_symmetry_space_group_name_H-M 'P 1'
_symmetry_Int_Tables_number 1
_cell_length_a 13.489
_cell_length_b 13.489
_cell_length_c 13.489
_cell_angle_alpha 31.65
_cell_angle_beta 31.65
_cell_angle_gamma 31.65
loop_
_symmetry_equiv_pos_as_xyz
'x,y,z'
loop_
_atom_site_label
_atom_site_type_symbol
_atom_site_fract_x
_atom_site_fract_y
_atom_site_fract_z
Ca1 Ca 0.047 0.047 0.047
Ca2 Ca 0.148 0.148 0.148
Ca3 Ca 0.334 0.334 0.334
Ca4 Ca 0.666 0.666 0.666
Ca5 Ca 0.852 0.852 0.852
Ca6 Ca 0.953 0.953 0.953
Ac1 Ac 0.083 0.589 0.589
Ac2 Ac 0.411 0.411 0.917
Ac3 Ac 0.411 0.917 0.411
Ac4 Ac 0.500 0.500 0.500
Ac5 Ac 0.589 0.083 0.589
Ac6 Ac 0.589 0.589 0.083
Ac7 Ac 0.917 0.411 0.411
```

total DFT energy (no corrections): -2.9932 eV/atom
size of the total moment: 0.0 μB per cell

(2)
## AlCuW (PBE)

Data for AlCuW after structural relaxation.

Cell and atoms, written as CIF:
```
data_AlCuW
_chemical_formula_sum 'Al1 Cu1 W1'
_symmetry_space_group_name_H-M 'P 1'
_symmetry_Int_Tables_number 1
_cell_length_a 6.394
_cell_length_b 6.273
_cell_length_c 2.706
_cell_angle_alpha 80.19
_cell_angle_beta 75.17
_cell_angle_gamma 24.65
loop_
_symmetry_equiv_pos_as_xyz
'x,y,z'
loop_
_atom_site_label
_atom_site_type_symbol
_atom_site_fract_x
_atom_site_fract_y
_atom_site_fract_z
Al1 Al 0.000 0.000 0.000
Cu1 Cu 0.343 0.343 0.657
W1 W 0.672 0.672 0.328
```

E above lowest polymorph: 0.1 meV per atom
total DFT energy (no corrections): -6.8693 eV/atom
size of the total moment: 0.0 μB per cell

(3)
## LiAg3F (PBE)

Data for LiAg3F after structural relaxation.

Cell and atoms, written as CIF:
```
data_LiAg3F
_chemical_formula_sum 'Li1 Ag3 F1'
_symmetry_space_group_name_H-M 'P 1'
_symmetry_Int_Tables_number 1
_cell_length_a 4.562
_cell_length_b 4.562
_cell_length_c 4.562
_cell_angle_alpha 90.00
_cell_angle_beta 90.00
_cell_angle_gamma 90.00
loop_
_symmetry_equiv_pos_as_xyz
'x,y,z'
loop_
_atom_site_label
_atom_site_type_symbol
_atom_site_fract_x
_atom_site_fract_y
_atom_site_fract_z
Li1 Li 0.000 0.000 0.000
Ag1 Ag 0.000 0.000 0.500
Ag2 Ag 0.000 0.500 0.000
Ag3 Ag 0.500 0.000 0.000
F1 F 0.500 0.500 0.500
```

E above lowest polymorph: 289.6 meV per atom
total DFT energy (no corrections): -2.2713 eV/atom
size of the total moment: 0.0 μB per cell
formation energy from raw total energies: 196.5 meV per atom

(4)
## KTlSe2Br (PBE)

Data for KTlSe2Br after structural relaxation.

Cell and atoms, written as CIF:
```
data_KTlSe2Br
_chemical_formula_sum 'K1 Tl1 Se2 Br1'
_symmetry_space_group_name_H-M 'P 1'
_symmetry_Int_Tables_number 1
_cell_length_a 5.417
_cell_length_b 5.417
_cell_length_c 6.057
_cell_angle_alpha 90.00
_cell_angle_beta 90.00
_cell_angle_gamma 90.00
loop_
_symmetry_equiv_pos_as_xyz
'x,y,z'
loop_
_atom_site_label
_atom_site_type_symbol
_atom_site_fract_x
_atom_site_fract_y
_atom_site_fract_z
K1 K 0.000 0.000 0.000
Tl1 Tl 0.500 0.500 0.500
Se1 Se 0.000 0.500 0.500
Se2 Se 0.500 0.000 0.500
Br1 Br 0.500 0.500 0.000
```

E above lowest polymorph: 0.0 meV per atom
total DFT energy (no corrections): -2.7998 eV/atom
size of the total moment: 0.7 μB per cell
formation energy from raw total energies: -378.7 meV per atom

(5)
## Mn2ZnCoAu (PBE)

Data for Mn2ZnCoAu after structural relaxation.

Cell and atoms, written as CIF:
```
data_Mn2ZnCoAu
_chemical_formula_sum 'Mn2 Zn1 Co1 Au1'
_symmetry_space_group_name_H-M 'P 1'
_symmetry_Int_Tables_number 1
_cell_length_a 4.420
_cell_length_b 4.420
_cell_length_c 4.483
_cell_angle_alpha 90.00
_cell_angle_beta 90.00
_cell_angle_gamma 90.00
loop_
_symmetry_equiv_pos_as_xyz
'x,y,z'
loop_
_atom_site_label
_atom_site_type_symbol
_atom_site_fract_x
_atom_site_fract_y
_atom_site_fract_z
Mn1 Mn 0.000 0.500 0.000
Mn2 Mn 0.500 0.000 0.000
Zn1 Zn 0.000 0.000 0.500
Co1 Co 0.000 0.000 0.000
Au1 Au 0.500 0.500 0.500
```

total DFT energy (no corrections): -5.3702 eV/atom
size of the total moment: 8.4 μB per cell

(6)
## Rb3PuI8 (PBE)

Data for Rb3PuI8 after structural relaxation.

Cell and atoms, written as CIF:
```
data_Rb3PuI8
_chemical_formula_sum 'Rb3 Pu1 I8'
_symmetry_space_group_name_H-M 'P 1'
_symmetry_Int_Tables_number 1
_cell_length_a 10.221
_cell_length_b 10.221
_cell_length_c 10.221
_cell_angle_alpha 131.15
_cell_angle_beta 131.15
_cell_angle_gamma 71.58
loop_
_symmetry_equiv_pos_as_xyz
'x,y,z'
loop_
_atom_site_label
_atom_site_type_symbol
_atom_site_fract_x
_atom_site_fract_y
_atom_site_fract_z
Rb1 Rb 0.000 0.000 0.000
Rb2 Rb 0.250 0.750 0.500
Rb3 Rb 0.750 0.250 0.500
Pu1 Pu 0.500 0.500 0.000
I1 I 0.166 0.166 0.556
I2 I 0.166 0.609 0.000
I3 I 0.391 0.391 0.556
I4 I 0.391 0.834 0.000
I5 I 0.609 0.166 0.000
I6 I 0.609 0.609 0.444
I7 I 0.834 0.391 0.000
I8 I 0.834 0.834 0.444
```

total DFT energy (no corrections): -3.4687 eV/atom
size of the total moment: 3.5 μB per cell
formation energy from raw total energies: -999.1 meV per atom

(7)
## KIBr3 (PBE)

Data for KIBr3 after structural relaxation.

Cell and atoms, written as CIF:
```
data_KIBr3
_chemical_formula_sum 'K1 I1 Br3'
_symmetry_space_group_name_H-M 'P 1'
_symmetry_Int_Tables_number 1
_cell_length_a 6.210
_cell_length_b 6.210
_cell_length_c 6.210
_cell_angle_alpha 90.00
_cell_angle_beta 90.00
_cell_angle_gamma 90.00
loop_
_symmetry_equiv_pos_as_xyz
'x,y,z'
loop_
_atom_site_label
_atom_site_type_symbol
_atom_site_fract_x
_atom_site_fract_y
_atom_site_fract_z
K1 K 0.000 0.000 0.000
I1 I 0.500 0.500 0.500
Br1 Br 0.000 0.000 0.500
Br2 Br 0.000 0.500 0.000
Br3 Br 0.500 0.000 0.000
```

E above lowest polymorph: 566.1 meV per atom
total DFT energy (no corrections): -1.6085 eV/atom
size of the total moment: 3.0 μB per cell
formation energy from raw total energies: -75.2 meV per atom

(8)
## K3U3GaTe8 (PBE)

Data for K3U3GaTe8 after structural relaxation.

Cell and atoms, written as CIF:
```
data_K3U3GaTe8
_chemical_formula_sum 'K3 U3 Ga1 Te8'
_symmetry_space_group_name_H-M 'P 1'
_symmetry_Int_Tables_number 1
_cell_length_a 9.081
_cell_length_b 9.081
_cell_length_c 9.693
_cell_angle_alpha 117.89
_cell_angle_beta 117.89
_cell_angle_gamma 59.76
loop_
_symmetry_equiv_pos_as_xyz
'x,y,z'
loop_
_atom_site_label
_atom_site_type_symbol
_atom_site_fract_x
_atom_site_fract_y
_atom_site_fract_z
K1 K 0.000 0.000 0.000
K2 K 0.000 0.500 0.000
K3 K 0.500 0.000 0.000
U1 U 0.000 0.500 0.500
U2 U 0.500 0.000 0.500
U3 U 0.500 0.500 0.500
Ga1 Ga 0.000 0.000 0.500
Te1 Te 0.239 0.239 0.701
Te2 Te 0.239 0.723 0.699
Te3 Te 0.262 0.262 0.288
Te4 Te 0.277 0.761 0.301
Te5 Te 0.723 0.239 0.699
Te6 Te 0.738 0.738 0.712
Te7 Te 0.761 0.277 0.301
Te8 Te 0.761 0.761 0.299
```

total DFT energy (no corrections): -5.0932 eV/atom
size of the total moment: 2.2 μB per cell
formation energy from raw total energies: -738.7 meV per atom

(9)
## Ba3ScIr (PBE)

Data for Ba3ScIr after structural relaxation.

Cell and atoms, written as CIF:
```
data_Ba3ScIr
_chemical_formula_sum 'Ba3 Sc1 Ir1'
_symmetry_space_group_name_H-M 'P 1'
_symmetry_Int_Tables_number 1
_cell_length_a 6.116
_cell_length_b 6.116
_cell_length_c 6.116
_cell_angle_alpha 90.00
_cell_angle_beta 90.00
_cell_angle_gamma 90.00
loop_
_symmetry_equiv_pos_as_xyz
'x,y,z'
loop_
_atom_site_label
_atom_site_type_symbol
_atom_site_fract_x
_atom_site_fract_y
_atom_site_fract_z
Ba1 Ba 0.000 0.000 0.500
Ba2 Ba 0.000 0.500 0.000
Ba3 Ba 0.500 0.000 0.000
Sc1 Sc 0.500 0.500 0.500
Ir1 Ir 0.000 0.000 0.000
```

E above lowest polymorph: 0.0 meV per atom
total DFT energy (no corrections): -3.9171 eV/atom
size of the total moment: 0.2 μB per cell

(10)
## Sc2CdP (PBE)

Data for Sc2CdP after structural relaxation.

Cell and atoms, written as CIF:
```
data_Sc2CdP
_chemical_formula_sum 'Sc4 Cd2 P2'
_symmetry_space_group_name_H-M 'P 1'
_symmetry_Int_Tables_number 1
_cell_length_a 6.152
_cell_length_b 6.152
_cell_length_c 6.152
_cell_angle_alpha 106.06
_cell_angle_beta 106.06
_cell_angle_gamma 116.53
loop_
_symmetry_equiv_pos_as_xyz
'x,y,z'
loop_
_atom_site_label
_atom_site_type_symbol
_atom_site_fract_x
_atom_site_fract_y
_atom_site_fract_z
Sc1 Sc 0.085 0.625 0.960
Sc2 Sc 0.375 0.335 0.460
Sc3 Sc 0.665 0.125 0.040
Sc4 Sc 0.875 0.915 0.540
Cd1 Cd 0.250 0.750 0.500
Cd2 Cd 0.500 0.500 0.000
P1 P 0.000 0.000 0.000
P2 P 0.750 0.250 0.500
```

E above lowest polymorph: 365.2 meV per atom
total DFT energy (no corrections): -5.2063 eV/atom
size of the total moment: 0.0 μB per cell

Q: The highest size of the total moment belongs to which entry?
A: Mn2ZnCoAu